Entry 1:
Entry from OQMD: a relaxed structure of Cu4Ag5 (PBE-GGA).

Unit cell a=4.9489 b=4.9489 c=11.0278 alpha=111.66 beta=111.66 gamma=33.47
Last column: nearest neighbours and their distance in Å.
Fractional coordinates of all 9 atoms:
Ag: 0.6695 0.6695 0.1942  5 Cu 2.71-2.75, 7 Ag 2.85-2.96
Ag: 0.0060 0.0060 0.3359  4 Cu 2.73-2.84, 8 Ag 2.78-2.96
Ag: 0.3243 0.3243 0.4448  3 Cu 2.75-3.05, 9 Ag 2.78-2.95
Ag: 0.9997 0.9997 0.6747  6 Cu 2.73-2.86, 6 Ag 2.82-2.85
Ag: 0.6686 0.6686 0.9070  8 Cu 2.69-3.01, 4 Ag 2.83-2.85
Cu: 0.3588 0.3588 0.1111  4 Cu 2.55-2.85, 7 Ag 2.69-2.73
Cu: 0.6724 0.6724 0.5709  4 Cu 2.61-2.85, 7 Ag 2.73-2.86
Cu: 0.3252 0.3252 0.7790  6 Cu 2.57-2.85, 5 Ag 2.75-2.85
Cu: 0.9757 0.9757 0.9824  6 Cu 2.55-2.85, 5 Ag 2.69-2.75

Output
For the total DFT energy (no corrections), the calculation gives -28.226 eV/f.u. The calculation puts the calculated formation energy at 2.0 kcal/mol of atoms. The value obtained for the volume is 137 Å³/f.u. Its excess energy over the best structure of this formula in the dataset is 47 meV per atom.

---

Entry 2:
Entry from OQMD: a relaxed structure of Cu3Ag2 (PBE-GGA).

Unit cell a=7.2690 b=7.2690 c=4.6804 alpha=95.69 beta=95.69 gamma=142.52
Last column: nearest neighbours and their distance in Å.
Fractional coordinates of all 10 atoms:
Ag: 0.4041 0.5959 0.0000  11 Cu 2.65-2.75, 1 Ag 2.81
Ag: 0.2004 0.7996 0.0000  7 Cu 2.73-2.82, 5 Ag 2.75-2.81
Ag: 0.7042 0.2958 0.5000  8 Cu 2.67-2.85, 4 Ag 2.75-2.82
Ag: 0.0898 0.9102 0.5000  7 Cu 2.64-2.75, 4 Ag 2.79-2.82
Cu: 0.9956 0.0044 0.0000  7 Cu 2.62-2.75, 5 Ag 2.65-2.82
Cu: 0.8057 0.1943 0.0000  6 Cu 2.62-2.87, 6 Ag 2.70-2.75
Cu: 0.5972 0.4028 0.0000  7 Ag 2.66-2.77, 5 Cu 2.72-2.87
Cu: 0.8979 0.1021 0.5000  8 Cu 2.64-2.70, 4 Ag 2.64-2.75
Cu: 0.4969 0.5031 0.5000  7 Cu 2.60-2.75, 5 Ag 2.66-2.85
Cu: 0.3083 0.6917 0.5000  5 Cu 2.60-2.75, 6 Ag 2.69-2.77

Output
For the total DFT energy (no corrections), the calculation gives -16.308 eV/f.u. The calculation puts the calculated formation energy at 2.3 kcal/mol of atoms. The value obtained for the volume is 72 Å³/f.u. Its excess energy over the best structure of this formula in the dataset is 56 meV per atom.

---

Entry 3:
Entry from OQMD: a relaxed structure of Cu3Ag2 (PBE-GGA).

Unit cell a=2.7835 b=3.6924 c=13.9203 alpha=90.00 beta=90.00 gamma=90.00
Last column: nearest neighbours and their distance in Å.
Fractional coordinates of all 10 atoms:
Ag: 0.0000 0.5000 0.0000  8 Cu 2.72, 4 Ag 2.78-2.86
Ag: 0.0000 0.5000 0.2056  9 Cu 2.67-2.72, 3 Ag 2.78-2.86
Ag: 0.5000 0.0000 0.5000  10 Cu 2.67-2.72, 2 Ag 2.78
Ag: 0.0000 0.5000 0.7944  9 Cu 2.67-2.72, 3 Ag 2.78-2.86
Cu: 0.5000 0.0000 0.1027  8 Ag 2.72, 4 Cu 2.78-2.86
Cu: 0.5000 0.0000 0.3083  7 Cu 2.62-2.86, 5 Ag 2.67-2.72
Cu: 0.0000 0.5000 0.3976  7 Cu 2.62-2.85, 5 Ag 2.67-2.72
Cu: 0.0000 0.5000 0.6024  7 Cu 2.62-2.85, 5 Ag 2.67-2.72
Cu: 0.5000 0.0000 0.6917  7 Cu 2.62-2.86, 5 Ag 2.67-2.72
Cu: 0.5000 0.0000 0.8973  8 Ag 2.72, 4 Cu 2.78-2.86

Output
For the total DFT energy (no corrections), the calculation gives -16.311 eV/f.u. The calculation puts the calculated formation energy at 2.3 kcal/mol of atoms. The value obtained for the volume is 72 Å³/f.u. Its excess energy over the best structure of this formula in the dataset is 56 meV per atom.

---

Entry 4:
Entry from OQMD: a relaxed structure of Cu3Ag2 (PBE-GGA).

Unit cell a=6.8124 b=2.8035 c=7.5534 alpha=90.00 beta=98.68 gamma=90.00
Last column: nearest neighbours and their distance in Å.
Fractional coordinates of all 10 atoms:
Ag: 0.2724 0.2500 0.2217  8 Cu 2.71-2.91, 5 Ag 2.80-2.93
Ag: 0.6637 0.2500 0.4342  5 Cu 2.69-2.73, 7 Ag 2.80-2.93
Ag: 0.3363 0.7500 0.5658  5 Cu 2.69-2.73, 7 Ag 2.80-2.93
Ag: 0.7276 0.7500 0.7783  8 Cu 2.71-2.91, 5 Ag 2.80-2.93
Cu: 0.8793 0.2500 0.0750  6 Cu 2.50-2.55, 3 Ag 2.71-2.74
Cu: 0.5887 0.7500 0.1244  4 Cu 2.50, 4 Ag 2.71-2.76
Cu: 0.9746 0.7500 0.3526  6 Cu 2.52-2.80, 5 Ag 2.69-2.77
Cu: 0.0254 0.2500 0.6474  6 Cu 2.52-2.80, 5 Ag 2.69-2.77
Cu: 0.4113 0.2500 0.8756  4 Cu 2.50, 4 Ag 2.71-2.76
Cu: 0.1207 0.7500 0.9250  6 Cu 2.50-2.55, 3 Ag 2.71-2.74

Output
For the total DFT energy (no corrections), the calculation gives -16.423 eV/f.u. The calculation puts the calculated formation energy at 1.7 kcal/mol of atoms. The value obtained for the volume is 71 Å³/f.u. Its excess energy over the best structure of this formula in the dataset is 33 meV per atom.

---

Entry 5:
Entry from OQMD: a relaxed structure of Cu5Ag3 (PBE-GGA).

Unit cell a=2.7765 b=7.2992 c=5.5826 alpha=90.00 beta=90.00 gamma=90.00
Last column: nearest neighbours and their distance in Å.
Fractional coordinates of all 8 atoms:
Ag: 0.5000 0.5000 0.5174  6 Cu 2.64-2.94, 6 Ag 2.78-2.84
Ag: 0.0000 0.2345 0.2419  8 Cu 2.68-2.87, 4 Ag 2.78-2.84
Ag: 0.0000 0.7655 0.2419  8 Cu 2.68-2.87, 4 Ag 2.78-2.84
Cu: 0.5000 0.0000 0.5249  7 Cu 2.49-2.78, 4 Ag 2.71
Cu: 0.0000 0.2405 0.7567  8 Cu 2.54-2.78, 3 Ag 2.70-2.71
Cu: 0.0000 0.7595 0.7567  8 Cu 2.54-2.78, 3 Ag 2.70-2.71
Cu: 0.5000 0.0000 0.9702  7 Cu 2.49-2.78, 4 Ag 2.68
Cu: 0.5000 0.5000 0.9904  6 Ag 2.64-2.94, 6 Cu 2.69-2.78

Output
For the total DFT energy (no corrections), the calculation gives -26.358 eV/f.u. The calculation puts the calculated formation energy at 2.0 kcal/mol of atoms. The value obtained for the volume is 113 Å³/f.u. Its excess energy over the best structure of this formula in the dataset is 41 meV per atom.

---

Entry 6:
Entry from OQMD: a relaxed structure of CuAg (PBE-GGA).

Unit cell a=2.8056 b=2.8056 c=53.0623 alpha=90.00 beta=90.00 gamma=120.00
Last column: nearest neighbours and their distance in Å.
Fractional coordinates of all 24 atoms:
Ag: 0.6667 0.3333 0.0229  12 Ag 2.81-2.92
Ag: 0.0000 0.0000 0.0688  12 Ag 2.81-2.93
Ag: 0.3333 0.6667 0.1148  12 Ag 2.81-2.94
Ag: 0.6667 0.3333 0.1610  12 Ag 2.81-2.95
Ag: 0.0000 0.0000 0.2074  12 Ag 2.81-2.96
Ag: 0.3333 0.6667 0.2542  3 Cu 2.75, 9 Ag 2.81-2.96
Ag: 0.6667 0.3333 0.7458  3 Cu 2.75, 9 Ag 2.81-2.96
Ag: 0.0000 0.0000 0.7926  12 Ag 2.81-2.96
Ag: 0.3333 0.6667 0.8390  12 Ag 2.81-2.95
Ag: 0.6667 0.3333 0.8852  12 Ag 2.81-2.94
Ag: 0.0000 0.0000 0.9312  12 Ag 2.81-2.93
Ag: 0.3333 0.6667 0.9771  12 Ag 2.81-2.92
Cu: 0.6667 0.3333 0.2960  9 Cu 2.53-2.81, 3 Ag 2.75
Cu: 0.0000 0.0000 0.3327  12 Cu 2.53-2.81
Cu: 0.3333 0.6667 0.3696  12 Cu 2.54-2.81
Cu: 0.6667 0.3333 0.4067  12 Cu 2.55-2.81
Cu: 0.0000 0.0000 0.4440  12 Cu 2.56-2.81
Cu: 0.3333 0.6667 0.4813  12 Cu 2.56-2.81
Cu: 0.6667 0.3333 0.5187  12 Cu 2.56-2.81
Cu: 0.0000 0.0000 0.5560  12 Cu 2.56-2.81
Cu: 0.3333 0.6667 0.5933  12 Cu 2.55-2.81
Cu: 0.6667 0.3333 0.6304  12 Cu 2.54-2.81
Cu: 0.0000 0.0000 0.6673  12 Cu 2.53-2.81
Cu: 0.3333 0.6667 0.7040  9 Cu 2.53-2.81, 3 Ag 2.75

Output
For the total DFT energy (no corrections), the calculation gives -6.377 eV/f.u. The calculation puts the calculated formation energy at 1.9 kcal/mol of atoms. The value obtained for the volume is 30 Å³/f.u.

---

Entry 7:
Entry from OQMD: a relaxed structure of Cu3Ag2 (PBE-GGA).

Unit cell a=7.2209 b=7.2209 c=5.4496 alpha=102.95 beta=102.95 gamma=31.11
Last column: nearest neighbours and their distance in Å.
Fractional coordinates of all 10 atoms:
Ag: 0.1998 0.1998 0.1039  8 Cu 2.70-2.74, 4 Ag 2.78-2.79
Ag: 0.5965 0.5965 0.3071  10 Cu 2.63-2.82, 2 Ag 2.79
Ag: 0.4035 0.4035 0.6929  10 Cu 2.63-2.82, 2 Ag 2.79
Ag: 0.8002 0.8002 0.8961  8 Cu 2.70-2.74, 4 Ag 2.78-2.79
Cu: 0.0000 0.0000 0.0000  6 Ag 2.70, 6 Cu 2.72-2.75
Cu: 0.4023 0.4023 0.2044  6 Ag 2.63-2.79, 6 Cu 2.68-2.75
Cu: 0.8044 0.8044 0.3986  5 Cu 2.65-2.84, 7 Ag 2.68-2.82
Cu: 0.0000 0.0000 0.5000  8 Cu 2.65-2.72, 4 Ag 2.70
Cu: 0.1956 0.1956 0.6014  5 Cu 2.65-2.84, 7 Ag 2.68-2.82
Cu: 0.5977 0.5977 0.7956  6 Ag 2.63-2.79, 6 Cu 2.68-2.75

Output
For the total DFT energy (no corrections), the calculation gives -16.299 eV/f.u. The calculation puts the calculated formation energy at 2.3 kcal/mol of atoms. The value obtained for the volume is 71 Å³/f.u. Its excess energy over the best structure of this formula in the dataset is 58 meV per atom.

---

Entry 8:
Entry from OQMD: a relaxed structure of CuAg (PBE-GGA).

Unit cell a=7.7382 b=7.7382 c=7.1426 alpha=103.38 beta=103.38 gamma=20.99
Last column: nearest neighbours and their distance in Å.
Fractional coordinates of all 10 atoms:
Ag: 0.4012 0.4012 0.2073  5 Cu 2.70-2.79, 7 Ag 2.82-2.92
Ag: 0.5972 0.5972 0.2772  8 Cu 2.69-2.81, 4 Ag 2.82-2.99
Ag: 0.7975 0.7975 0.4320  6 Cu 2.70-2.75, 5 Ag 2.82-2.99
Ag: 0.6018 0.6018 0.8225  9 Cu 2.68-2.77, 3 Ag 2.82-2.94
Ag: 0.7990 0.7990 0.8669  7 Cu 2.73-2.82, 5 Ag 2.82-2.94
Cu: 0.2127 0.2127 0.1089  9 Ag 2.72-2.79, 2 Cu 2.82
Cu: 0.0031 0.0031 0.5096  5 Cu 2.54-2.82, 6 Ag 2.73-2.81
Cu: 0.1819 0.1819 0.5892  3 Cu 2.65-2.82, 8 Ag 2.68-2.73
Cu: 0.4160 0.4160 0.7005  4 Cu 2.51-2.54, 5 Ag 2.70-2.76
Cu: 0.9896 0.9896 0.9860  2 Cu 2.51, 6 Ag 2.69-2.72

Output
For the total DFT energy (no corrections), the calculation gives -6.357 eV/f.u. The calculation puts the calculated formation energy at 2.1 kcal/mol of atoms. The value obtained for the volume is 30 Å³/f.u.

---

Entry 9:
Entry from OQMD: a relaxed structure of Cu3Ag5 (PBE-GGA).

Unit cell a=4.8251 b=4.9034 c=5.7053 alpha=71.67 beta=89.04 gamma=79.35
Last column: nearest neighbours and their distance in Å.
Fractional coordinates of all 8 atoms:
Ag: 0.0116 0.5098 0.2370  5 Cu 2.70-2.86, 7 Ag 2.74-2.97
Ag: 0.7507 0.0125 0.3563  5 Cu 2.70-2.99, 7 Ag 2.82-2.92
Ag: 0.5000 0.5000 0.5000  4 Cu 2.79-2.85, 8 Ag 2.80-2.87
Ag: 0.2493 0.9875 0.6437  5 Cu 2.70-2.99, 7 Ag 2.82-2.92
Ag: 0.9884 0.4902 0.7630  5 Cu 2.70-2.86, 7 Ag 2.74-2.97
Cu: 0.5000 0.5000 0.0000  8 Ag 2.70-2.85, 4 Cu 2.77-2.79
Cu: 0.2644 0.9986 0.1160  4 Cu 2.61-2.89, 7 Ag 2.71-2.86
Cu: 0.7356 0.0014 0.8840  4 Cu 2.61-2.89, 7 Ag 2.71-2.86

Output
For the total DFT energy (no corrections), the calculation gives -24.565 eV/f.u. The calculation puts the calculated formation energy at 2.0 kcal/mol of atoms. The value obtained for the volume is 126 Å³/f.u. Its excess energy over the best structure of this formula in the dataset is 51 meV per atom.

---

Entry 10:
Entry from OQMD: a relaxed structure of Cu3Ag2 (PBE-GGA).

Unit cell a=6.8920 b=2.8201 c=7.3695 alpha=90.00 beta=95.85 gamma=90.00
Last column: nearest neighbours and their distance in Å.
Fractional coordinates of all 10 atoms:
Ag: 0.4885 0.2500 0.3159  6 Cu 2.70-3.01, 5 Ag 2.82-2.88
Ag: 0.1627 0.7500 0.4398  5 Cu 2.73-2.78, 7 Ag 2.82-2.88
Ag: 0.8373 0.2500 0.5602  5 Cu 2.73-2.78, 7 Ag 2.82-2.88
Ag: 0.5115 0.7500 0.6841  6 Cu 2.70-3.01, 5 Ag 2.82-2.88
Cu: 0.3495 0.7500 0.0174  6 Cu 2.49-2.54, 2 Ag 2.70
Cu: 0.0808 0.2500 0.1240  6 Cu 2.48-2.53, 2 Ag 2.73
Cu: 0.8110 0.7500 0.2334  4 Cu 2.49-2.53, 5 Ag 2.73-2.78
Cu: 0.1890 0.2500 0.7666  4 Cu 2.49-2.53, 5 Ag 2.73-2.78
Cu: 0.9192 0.7500 0.8760  6 Cu 2.48-2.53, 2 Ag 2.73
Cu: 0.6505 0.2500 0.9826  6 Cu 2.49-2.54, 2 Ag 2.70

Output
For the total DFT energy (no corrections), the calculation gives -16.459 eV/f.u. The calculation puts the calculated formation energy at 1.6 kcal/mol of atoms. The value obtained for the volume is 71 Å³/f.u. Its excess energy over the best structure of this formula in the dataset is 26 meV per atom.

---

Entry 11:
Entry from OQMD: a relaxed structure of Cu3Ag2 (PBE-GGA).

Unit cell a=4.7142 b=2.7778 c=11.0611 alpha=90.00 beta=96.66 gamma=90.00
Last column: nearest neighbours and their distance in Å.
Fractional coordinates of all 10 atoms:
Ag: 0.8946 0.0000 0.1842  3 Cu 2.70-2.73, 8 Ag 2.73-2.92
Ag: 0.3952 0.5000 0.2024  7 Ag 2.73-2.83, 5 Cu 2.76-2.85
Ag: 0.8086 0.5000 0.4096  7 Cu 2.67-2.75, 5 Ag 2.78-2.92
Ag: 0.5980 0.5000 0.8008  10 Cu 2.65-2.74, 2 Ag 2.78
Cu: 0.3079 0.0000 0.4197  5 Cu 2.58-2.78, 6 Ag 2.72-2.85
Cu: 0.7042 0.0000 0.6053  8 Cu 2.61-2.78, 4 Ag 2.67
Cu: 0.2011 0.5000 0.6060  10 Cu 2.58-2.78, 2 Ag 2.68-2.69
Cu: 0.0975 0.0000 0.7938  8 Cu 2.59-2.78, 4 Ag 2.73-2.74
Cu: 0.0139 0.5000 0.9839  8 Cu 2.59-2.89, 4 Ag 2.65-2.84
Cu: 0.4790 0.0000 0.9942  7 Cu 2.59-2.89, 5 Ag 2.66-2.76

Output
For the total DFT energy (no corrections), the calculation gives -16.259 eV/f.u. The calculation puts the calculated formation energy at 2.5 kcal/mol of atoms. The value obtained for the volume is 72 Å³/f.u. Its excess energy over the best structure of this formula in the dataset is 66 meV per atom.

---

Entry 12:
Entry from OQMD: a relaxed structure of Cu2Ag7 (PBE-GGA).

Unit cell a=2.8781 b=2.8781 c=20.8502 alpha=90.00 beta=90.00 gamma=120.00
Last column: nearest neighbours and their distance in Å.
Fractional coordinates of all 9 atoms:
Ag: 0.0000 0.0000 0.0000  12 Ag 2.88-2.94
Ag: 0.6667 0.3333 0.1164  12 Ag 2.88-2.95
Ag: 0.3333 0.6667 0.2331  12 Ag 2.88-2.95
Ag: 0.0000 0.0000 0.3502  3 Cu 2.74, 9 Ag 2.88-2.95
Ag: 0.0000 0.0000 0.6498  3 Cu 2.74, 9 Ag 2.88-2.95
Ag: 0.6667 0.3333 0.7669  12 Ag 2.88-2.95
Ag: 0.3333 0.6667 0.8836  12 Ag 2.88-2.95
Cu: 0.6667 0.3333 0.4545  3 Cu 2.52, 3 Ag 2.74
Cu: 0.3333 0.6667 0.5455  3 Cu 2.52, 3 Ag 2.74

Output
For the total DFT energy (no corrections), the calculation gives -26.748 eV/f.u. The calculation puts the calculated formation energy at 1.2 kcal/mol of atoms. The value obtained for the volume is 150 Å³/f.u. Its excess energy over the best structure of this formula in the dataset is 24 meV per atom.

---

Look up the calculated formation energy of the fifth one. 2.0 kcal/mol of atoms